a) MnCoSb2 | meta-GGA SCAN | PBEsol geometry

Calculated values
Its density of states at the Fermi level is 1.66 states/eV/cell. The density comes out at 8.902 Mg/m³. As for the symmetry: No. 99. As for the total moment: 2.004 μB/cell.

Lattice parameters (Å, degrees): 3.5648 3.5648 5.2462 90.00 90.00 90.00
Last column: nearest neighbours and their distance in Å.
Fractional positions:
Mn: 0.0000 0.0000 0.0000  6 Sb 2.52-2.72
Co: 0.5000 0.5000 0.6565  6 Sb 2.56-2.69
Sb: 0.0000 0.0000 0.5188  2 Mn 2.52-2.72, 4 Co 2.62
Sb: 0.5000 0.5000 0.1437  2 Co 2.56-2.69, 4 Mn 2.63

b) MnCoSb2 | meta-GGA SCAN | PBEsol geometry

Calculated values
Its density of states at the Fermi level is 12.02 states/eV/cell. The density comes out at 9.446 Mg/m³. As for the symmetry: No. 225. As for the total moment: 10.647 μB/cell.

Lattice parameters (Å, degrees): 6.3105 6.3105 6.3105 90.00 90.00 90.00
Last column: nearest neighbours and their distance in Å.
Fractional positions:
Mn: 0.0000 0.0000 0.0000  8 Sb 2.73
Mn: 0.0000 0.5000 0.5000  8 Sb 2.73
Mn: 0.5000 0.0000 0.5000  8 Sb 2.73
Mn: 0.5000 0.5000 0.0000  8 Sb 2.73
Co: 0.0000 0.0000 0.5000  8 Sb 2.73
Co: 0.0000 0.5000 0.0000  8 Sb 2.73
Co: 0.5000 0.0000 0.0000  8 Sb 2.73
Co: 0.5000 0.5000 0.5000  8 Sb 2.73
Sb: 0.2500 0.2500 0.2500  4 Mn 2.73, 4 Co 2.73
Sb: 0.2500 0.2500 0.7500  4 Mn 2.73, 4 Co 2.73
Sb: 0.2500 0.7500 0.2500  4 Mn 2.73, 4 Co 2.73
Sb: 0.2500 0.7500 0.7500  4 Mn 2.73, 4 Co 2.73
Sb: 0.7500 0.2500 0.2500  4 Mn 2.73, 4 Co 2.73
Sb: 0.7500 0.2500 0.7500  4 Mn 2.73, 4 Co 2.73
Sb: 0.7500 0.7500 0.2500  4 Mn 2.73, 4 Co 2.73
Sb: 0.7500 0.7500 0.7500  4 Mn 2.73, 4 Co 2.73

Ranking the structures above by energy, a) is first and the second is 259 meV per atom behind.